## BaLuSn (PBE-GGA)

Data for an optimized crystal structure of BaLuSn.

a b c (Å): 4.8850 5.1735 5.1735
angles (deg): 120.00 90.00 90.00
Last column: nearest neighbours and their distance in Å.
Fractional coordinates of all 3 atoms:
Ba: 0.6668 0.3333 0.6667  6 Sn 3.86, 6 Lu 3.86
Lu: 0.1668 0.6667 0.3333  3 Sn 2.99
Sn: 0.1664 0.0000 0.0000  3 Lu 2.99

Results
**Energy relative to the elements**: -0.3502 eV/atom
**Volume**: 113.2 Å³/cell